No. 1
! YCS2N PBE relaxed; values from VASP
&SYSTEM
  ibrav = 0, nat = 5, ntyp = 4
/
ATOMIC_SPECIES
Y 88.91 Y.upf
C 12.01 C.upf
S 32.06 S.upf
N 14.01 N.upf
CELL_PARAMETERS angstrom
4.160 0.000 0.000
0.000 4.160 0.000
0.000 0.000 3.930
ATOMIC_POSITIONS crystal
Y 0.000 0.000 0.000
C 0.500 0.500 0.500
S 0.000 0.500 0.500
S 0.500 0.000 0.500
N 0.500 0.500 0.000
! Space-group type: No. 123
! Raw total energy in eV per atom: -5.85
! Density of states at the Fermi level in states/eV/f.u.: 3.1
! V in Å³/f.u.: 68.02
! ΔE to the lowest computed polymorph in meV per atom: 0
! Formation energy (no corrections) in eV per formula unit: 3.0

=====

No. 2
! Y8C3S4N PBE relaxed; values from VASP
&SYSTEM
  ibrav = 0, nat = 16, ntyp = 4
/
ATOMIC_SPECIES
Y 88.91 Y.upf
C 12.01 C.upf
S 32.06 S.upf
N 14.01 N.upf
CELL_PARAMETERS angstrom
3.701 2.137 6.332
-3.701 2.137 6.332
0.000 -4.274 6.332
ATOMIC_POSITIONS crystal
Y 0.236 0.738 0.738
Y 0.238 0.238 0.238
Y 0.262 0.262 0.764
Y 0.262 0.764 0.262
Y 0.738 0.236 0.738
Y 0.738 0.738 0.236
Y 0.762 0.762 0.762
Y 0.764 0.262 0.262
C 0.000 0.000 0.500
C 0.000 0.500 0.000
C 0.500 0.000 0.000
S 0.000 0.000 0.000
S 0.000 0.500 0.500
S 0.500 0.000 0.500
S 0.500 0.500 0.000
N 0.500 0.500 0.500
! Space-group type: No. 166
! Raw total energy in eV per atom: -7.97
! Density of states at the Fermi level in states/eV/f.u.: 3.0
! V in Å³/f.u.: 300.53
! Formation energy (no corrections) in eV per formula unit: -23.3

=====

No. 3
! ZnCS2N PBE relaxed; values from VASP
&SYSTEM
  ibrav = 0, nat = 5, ntyp = 4
/
ATOMIC_SPECIES
Zn 65.41 Zn.upf
C 12.01 C.upf
S 32.06 S.upf
N 14.01 N.upf
CELL_PARAMETERS angstrom
4.760 0.000 0.000
0.000 4.760 0.000
0.000 0.000 3.744
ATOMIC_POSITIONS crystal
Zn 0.000 0.000 0.000
C 0.500 0.500 0.500
S 0.000 0.500 0.000
S 0.500 0.000 0.000
N 0.000 0.000 0.500
! Space-group type: No. 123
! Raw total energy in eV per atom: -3.09
! Density of states at the Fermi level in states/eV/f.u.: 2.6
! V in Å³/f.u.: 84.85
! ΔE to the lowest computed polymorph in meV per atom: 1659
! Formation energy (no corrections) in eV per formula unit: 11.6

=====

No. 4
! ZnC2S2N2 PBE relaxed; values from VASP
&SYSTEM
  ibrav = 0, nat = 28, ntyp = 4
/
ATOMIC_SPECIES
Zn 65.41 Zn.upf
C 12.01 C.upf
S 32.06 S.upf
N 14.01 N.upf
CELL_PARAMETERS angstrom
8.114 0.000 0.000
0.806 8.158 0.000
3.585 3.358 10.265
ATOMIC_POSITIONS crystal
Zn 0.203 0.411 0.320
Zn 0.291 0.082 0.791
Zn 0.709 0.918 0.209
Zn 0.797 0.589 0.680
C 0.077 0.405 0.814
C 0.096 0.132 0.593
C 0.382 0.696 0.370
C 0.491 0.244 0.137
C 0.509 0.756 0.863
C 0.618 0.304 0.630
C 0.904 0.868 0.407
C 0.923 0.595 0.186
S 0.063 0.989 0.738
S 0.207 0.297 0.896
S 0.357 0.845 0.957
S 0.473 0.838 0.403
S 0.527 0.162 0.597
S 0.643 0.155 0.043
S 0.793 0.703 0.104
S 0.937 0.011 0.262
N 0.017 0.514 0.243
N 0.117 0.232 0.489
N 0.312 0.592 0.350
N 0.381 0.310 0.201
N 0.619 0.690 0.799
N 0.688 0.408 0.650
N 0.883 0.768 0.511
N 0.983 0.486 0.757
! Space-group type: No. 2
! Raw total energy in eV per atom: -6.35
! Density of states at the Fermi level in states/eV/f.u.: 0.0
! V in Å³/f.u.: 169.89
! Formation energy (no corrections) in eV per formula unit: 0.2

=====

No. 5
! ZnCS2N PBE relaxed; values from VASP
&SYSTEM
  ibrav = 0, nat = 5, ntyp = 4
/
ATOMIC_SPECIES
Zn 65.41 Zn.upf
C 12.01 C.upf
S 32.06 S.upf
N 14.01 N.upf
CELL_PARAMETERS angstrom
5.842 0.000 0.000
0.000 5.842 0.000
0.000 0.000 2.421
ATOMIC_POSITIONS crystal
Zn 0.000 0.000 0.000
C 0.500 0.500 0.500
S 0.000 0.500 0.500
S 0.500 0.000 0.500
N 0.500 0.500 0.000
! Space-group type: No. 123
! Raw total energy in eV per atom: -4.75
! Density of states at the Fermi level in states/eV/f.u.: 1.6
! V in Å³/f.u.: 82.62
! ΔE to the lowest computed polymorph in meV per atom: 0
! Formation energy (no corrections) in eV per formula unit: 3.3

=====

No. 6
! Zr8C3S3N PBE relaxed; values from VASP
&SYSTEM
  ibrav = 0, nat = 15, ntyp = 4
/
ATOMIC_SPECIES
Zr 91.22 Zr.upf
C 12.01 C.upf
S 32.06 S.upf
N 14.01 N.upf
CELL_PARAMETERS angstrom
5.927 -3.424 0.000
5.927 3.424 0.000
-3.944 0.000 6.003
ATOMIC_POSITIONS crystal
Zr 0.233 0.233 0.704
Zr 0.235 0.736 0.704
Zr 0.264 0.765 0.296
Zr 0.268 0.268 0.304
Zr 0.732 0.732 0.696
Zr 0.736 0.235 0.704
Zr 0.765 0.264 0.296
Zr 0.767 0.767 0.296
C 0.000 0.500 0.500
C 0.500 0.000 0.500
C 0.500 0.500 0.500
S 0.000 0.000 0.000
S 0.000 0.500 0.000
S 0.500 0.000 0.000
N 0.000 0.000 0.500
! Space-group type: No. 12
! Raw total energy in eV per atom: -9.00
! Density of states at the Fermi level in states/eV/f.u.: 5.1
! V in Å³/f.u.: 243.64
! Formation energy (no corrections) in eV per formula unit: -18.3

=====

No. 7
! ZrCS2N PBE relaxed; values from VASP
&SYSTEM
  ibrav = 0, nat = 5, ntyp = 4
/
ATOMIC_SPECIES
Zr 91.22 Zr.upf
C 12.01 C.upf
S 32.06 S.upf
N 14.01 N.upf
CELL_PARAMETERS angstrom
4.041 0.000 0.000
0.000 4.041 0.000
0.000 0.000 3.791
ATOMIC_POSITIONS crystal
Zr 0.000 0.000 0.000
C 0.500 0.500 0.500
S 0.000 0.500 0.500
S 0.500 0.000 0.500
N 0.500 0.500 0.000
! Space-group type: No. 123
! Raw total energy in eV per atom: -6.05
! Density of states at the Fermi level in states/eV/f.u.: 2.2
! V in Å³/f.u.: 61.90
! ΔE to the lowest computed polymorph in meV per atom: 0
! Formation energy (no corrections) in eV per formula unit: 4.1

=====

No. 8
! Zr6C2S3N PBE relaxed; values from VASP
&SYSTEM
  ibrav = 0, nat = 12, ntyp = 4
/
ATOMIC_SPECIES
Zr 91.22 Zr.upf
C 12.01 C.upf
S 32.06 S.upf
N 14.01 N.upf
CELL_PARAMETERS angstrom
2.987 -5.170 0.000
2.987 5.170 0.000
-1.989 0.000 6.072
ATOMIC_POSITIONS crystal
Zr 0.100 0.435 0.803
Zr 0.231 0.231 0.197
Zr 0.435 0.100 0.803
Zr 0.565 0.900 0.197
Zr 0.769 0.769 0.803
Zr 0.900 0.565 0.197
C 0.166 0.834 0.000
C 0.834 0.166 0.000
S 0.000 0.000 0.500
S 0.332 0.668 0.500
S 0.668 0.332 0.500
N 0.500 0.500 0.000
! Space-group type: No. 12
! Raw total energy in eV per atom: -8.90
! Density of states at the Fermi level in states/eV/f.u.: 6.1
! V in Å³/f.u.: 187.51
! Formation energy (no corrections) in eV per formula unit: -16.4